! NaSc2Tl PBE relaxed; values from VASP
! - SG = No. 166
! - energy relative to the elements (eV per atom) = 0.16
! - size of the total moment (μB per cell) = 0.0
! - distance to the lowest polymorph of the same formula (meV per atom) = 151
! - VASP energy (eV for the cell shown) = -15.7
&SYSTEM
  ibrav = 0, nat = 4, ntyp = 3
/
ATOMIC_SPECIES
Tl 204.38 Tl.upf
Sc 44.96 Sc.upf
Na 22.99 Na.upf
CELL_PARAMETERS angstrom
1.9241 0.0000 11.4380
-0.9621 1.6663 11.4380
-0.9621 -1.6663 11.4380
ATOMIC_POSITIONS crystal
Tl 0.5000 0.5000 0.5000
Sc 0.0950 0.0950 0.0950
Sc 0.9050 0.9050 0.9050
Na 0.0000 0.0000 0.0000


! YZnNiGe2 PBE relaxed; values from VASP
! - SG = No. 119
! - energy relative to the elements (eV per atom) = -0.55
! - size of the total moment (μB per cell) = 0.0
! - VASP energy (eV for the cell shown) = -25.5
&SYSTEM
  ibrav = 0, nat = 5, ntyp = 4
/
ATOMIC_SPECIES
Zn 65.41 Zn.upf
Y 88.91 Y.upf
Ni 58.69 Ni.upf
Ge 72.64 Ge.upf
CELL_PARAMETERS angstrom
-2.9139 0.4557 2.7644
1.9406 -2.5486 2.4657
3.1193 5.0909 -0.5067
ATOMIC_POSITIONS crystal
Zn 0.2500 0.7500 0.5000
Y 0.0000 0.0000 0.0000
Ni 0.7500 0.2500 0.5000
Ge 0.3819 0.3819 0.7638
Ge 0.6181 0.6181 0.2362


! Pm7Y3Ho2 PBE relaxed; values from VASP
! - SG = No. 166
! - energy relative to the elements (eV per atom) = 0.27
! - size of the total moment (μB per cell) = 0.0
! - distance to the lowest polymorph of the same formula (meV per atom) = 171
! - VASP energy (eV for the cell shown) = -58.5
&SYSTEM
  ibrav = 0, nat = 12, ntyp = 3
/
ATOMIC_SPECIES
Pm 145.00 Pm.upf
Y 88.91 Y.upf
Ho 164.93 Ho.upf
CELL_PARAMETERS angstrom
-4.6691 -2.4625 -3.9708
-4.1013 -4.6744 2.2273
-10.0177 5.4938 2.8783
ATOMIC_POSITIONS crystal
Pm 0.4118 0.4118 0.2536
Y 0.0000 0.0000 0.0000
Pm 0.9228 0.4118 0.2536
Pm 0.4118 0.9228 0.2536
Ho 0.3344 0.3344 0.9968
Y 0.1509 0.1509 0.5472
Pm 0.5882 0.5882 0.7464
Pm 0.5000 0.5000 0.5000
Pm 0.0772 0.5882 0.7464
Y 0.8491 0.8491 0.4528
Ho 0.6656 0.6656 0.0032
Pm 0.5882 0.0772 0.7464


! LaTl2Cr PBE relaxed; values from VASP
! - SG = No. 119
! - energy relative to the elements (eV per atom) = 0.16
! - size of the total moment (μB per cell) = 4.6
! - VASP energy (eV for the cell shown) = -18.7
&SYSTEM
  ibrav = 0, nat = 4, ntyp = 3
/
ATOMIC_SPECIES
Cr 52.00 Cr.upf
Tl 204.38 Tl.upf
La 138.91 La.upf
CELL_PARAMETERS angstrom
5.7141 -0.2876 0.0000
1.8631 5.4095 0.0000
-3.7886 -2.5609 3.4383
ATOMIC_POSITIONS crystal
Cr 0.5000 0.5000 0.0000
Tl 0.0000 0.0000 0.0000
Tl 0.2500 0.7500 0.5000
La 0.7500 0.2500 0.5000


Repeat the first record exactly.
! NaSc2Tl PBE relaxed; values from VASP
! - SG = No. 166
! - energy relative to the elements (eV per atom) = 0.16
! - size of the total moment (μB per cell) = 0.0
! - distance to the lowest polymorph of the same formula (meV per atom) = 151
! - VASP energy (eV for the cell shown) = -15.7
&SYSTEM
  ibrav = 0, nat = 4, ntyp = 3
/
ATOMIC_SPECIES
Tl 204.38 Tl.upf
Sc 44.96 Sc.upf
Na 22.99 Na.upf
CELL_PARAMETERS angstrom
1.9241 0.0000 11.4380
-0.9621 1.6663 11.4380
-0.9621 -1.6663 11.4380
ATOMIC_POSITIONS crystal
Tl 0.5000 0.5000 0.5000
Sc 0.0950 0.0950 0.0950
Sc 0.9050 0.9050 0.9050
Na 0.0000 0.0000 0.0000


Look up the energy relative to the elements of the fourth one. 0.16 eV per atom


Which value of size of the total moment does entry 2 give? 0.0 μB per cell